A geometry-optimized DyYPtAu structure, computed with PBE.

The calculation puts the mass density at 11.5 g/cm³. The value obtained for the density of states at the Fermi level is 0.538 states/eV per atom. The calculation puts the offset from the most stable computed form at 0.0 meV/atom. The total DFT energy (no corrections) is -6.180 eV per atom.

Unit cell a=4.5949 b=3.7742 c=10.7119 alpha=90.00 beta=90.00 gamma=90.00
With the nearest neighbours (Å) after each atom.
Space group Amm2 (No. 38)
Symmetry-distinct sites (fractional):
1 Dy 0.0000 0.0000 0.0000  3 Au 2.96-3.05, 4 Pt 3.02
2 Y 0.5000 0.0000 0.2762  3 Pt 2.91-3.09, 4 Au 3.03
3 Pt 0.5000 0.0000 0.5482  3 Y 2.91-3.09, 2 Au 2.97, 4 Dy 3.02
4 Au 0.0000 0.0000 0.7240  3 Dy 2.96-3.05, 2 Pt 2.97, 4 Y 3.03

---

A geometry-optimized BaZrZn2Ag structure, computed with PBE.

The calculation puts the mass density at 5.3 g/cm³. The value obtained for the density of states at the Fermi level is 1.066 states/eV per atom. The total DFT energy (no corrections) is -2.464 eV per atom.

Unit cell a=5.0189 b=5.0189 c=5.7978 alpha=90.00 beta=90.00 gamma=90.00
With the nearest neighbours (Å) after each atom.
Space group P4/mmm (No. 123)
Symmetry-distinct sites (fractional):
1 Ba 0.0000 0.0000 0.0000  2 Ag 2.90
2 Zr 0.5000 0.5000 0.0000  4 Ba 3.55, 8 Zn 3.83
3 Zn 0.0000 0.5000 0.5000  2 Ag 2.51
4 Ag 0.0000 0.0000 0.5000  4 Zn 2.51

---

A geometry-optimized Si2HgBr structure, computed with PBE.

The calculation puts the mass density at 6.6 g/cm³. The value obtained for the density of states at the Fermi level is 0.550 states/eV per atom. The calculation puts the offset from the most stable computed form at 513.2 meV/atom. The value obtained for the formation energy (no corrections) is 63.8 kJ per mole of atoms. The total DFT energy (no corrections) is -2.544 eV per atom.

Unit cell a=3.2718 b=3.2718 c=7.9589 alpha=90.00 beta=90.00 gamma=90.00
With the nearest neighbours (Å) after each atom.
Space group P4/mmm (No. 123)
Symmetry-distinct sites (fractional):
1 Si 0.0000 0.0000 0.2374  4 Hg 2.99, 4 Br 3.12, 4 Si 3.27
2 Hg 0.5000 0.5000 0.0000  8 Si 2.99, 4 Hg 3.27
3 Br 0.5000 0.5000 0.5000  8 Si 3.12, 4 Br 3.27

---

A geometry-optimized TlNi2RhN structure, computed with PBE.

The calculation puts the mass density at 11.3 g/cm³. The value obtained for the density of states at the Fermi level is 0.805 states/eV per atom. The value obtained for the formation energy (no corrections) is 14.6 kJ per mole of atoms. The total DFT energy (no corrections) is -5.770 eV per atom.

Unit cell a=3.8922 b=3.8922 c=4.2468 alpha=90.00 beta=90.00 gamma=90.00
With the nearest neighbours (Å) after each atom.
Space group P4/mmm (No. 123)
Symmetry-distinct sites (fractional):
1 Tl 0.0000 0.0000 0.0000  4 Rh 2.75, 8 Ni 2.88
2 Ni 0.0000 0.5000 0.5000  2 N 1.95
3 Rh 0.5000 0.5000 0.0000  2 N 2.12
4 N 0.5000 0.5000 0.5000  4 Ni 1.95, 2 Rh 2.12

---

A geometry-optimized BaNaBi3 structure, computed with PBE.

The calculation puts the mass density at 6.6 g/cm³. The value obtained for the density of states at the Fermi level is 0.311 states/eV per atom. The calculation puts the offset from the most stable computed form at 0.0 meV/atom. The total DFT energy (no corrections) is -3.410 eV per atom.

Unit cell a=4.8526 b=28.6659 c=5.6603 alpha=90.00 beta=90.00 gamma=90.00
With the nearest neighbours (Å) after each atom.
Space group Cmcm (No. 63)
Symmetry-distinct sites (fractional):
1 Ba 0.0000 0.0814 0.2500  12 Bi 3.68-4.08
2 Na 0.0000 0.2093 0.7500  3 Bi 3.23-3.31
3 Bi 0.0000 0.3219 0.7500  2 Bi 3.14, 1 Na 3.23
4 Bi 0.0000 0.3691 0.2500  3 Bi 3.08-3.14, 2 Na 3.31
5 Bi 0.0000 0.4766 0.2500  3 Bi 3.08-3.13

---

A geometry-optimized YHfSb3 structure, computed with PBE.

The calculation puts the mass density at 7.9 g/cm³. The value obtained for the density of states at the Fermi level is 0.534 states/eV per atom. The calculation puts the offset from the most stable computed form at 0.0 meV/atom. The value obtained for the formation energy (no corrections) is -63.4 kJ per mole of atoms. The total DFT energy (no corrections) is -6.414 eV per atom.

Unit cell a=13.1604 b=6.3586 c=6.3299 alpha=90.00 beta=90.00 gamma=90.00
With the nearest neighbours (Å) after each atom.
Space group Pbcm (No. 57)
Symmetry-distinct sites (fractional):
1 Y 0.1794 0.0131 0.2500  9 Sb 3.21-3.38
2 Hf 0.4067 0.7500 0.0000  6 Sb 2.87-2.96, 2 Hf 3.16
3 Sb 0.0035 0.7500 0.0000  4 Sb 3.16-3.18, 4 Y 3.25-3.26
4 Sb 0.2576 0.5064 0.2500  2 Hf 2.96, 1 Sb 3.21, 1 Y 3.30
5 Sb 0.4174 0.1250 0.2500  4 Hf 2.87-2.91

---

A geometry-optimized NiPt2Br structure, computed with PBE.

The calculation puts the mass density at 13.2 g/cm³. The value obtained for the density of states at the Fermi level is 1.200 states/eV per atom. The calculation puts the offset from the most stable computed form at 144.1 meV/atom. The value obtained for the formation energy (no corrections) is 41.8 kJ per mole of atoms. The total DFT energy (no corrections) is -4.451 eV per atom.

Unit cell a=10.8592 b=2.9669 c=4.1577 alpha=90.00 beta=97.92 gamma=90.00
With the nearest neighbours (Å) after each atom.
Space group C2/m (No. 12)
Symmetry-distinct sites (fractional):
1 Ni 0.0000 0.0000 0.0000  4 Br 2.55, 4 Pt 2.73
2 Pt 0.2046 0.5000 0.2292  1 Br 2.63, 4 Pt 2.71-2.76, 2 Ni 2.73
3 Br 0.0000 0.5000 0.5000  4 Ni 2.55, 2 Pt 2.63

---

A geometry-optimized Ac2NdDyS6 structure, computed with PBE.

The calculation puts the mass density at 5.4 g/cm³. The value obtained for the density of states at the Fermi level is 0.000 states/eV per atom. The value obtained for the formation energy (no corrections) is -201.8 kJ per mole of atoms. The total DFT energy (no corrections) is -6.326 eV per atom.

Unit cell a=7.3356 b=7.3356 c=18.8555 alpha=90.00 beta=90.00 gamma=120.00
With the nearest neighbours (Å) after each atom.
Space group R3 (No. 146, hexagonal axes)
Symmetry-distinct sites (fractional):
1 Ac 0.0000 0.0000 0.0000  6 S 2.96-3.05
2 Ac 0.0000 0.0000 0.4986  6 S 2.98-3.04
3 Nd 0.0000 0.0000 0.2135  6 S 2.79-2.88
4 Dy 0.0000 0.0000 0.7113  6 S 2.72-2.78
5 S 0.0589 0.3518 0.7799  1 Dy 2.72, 1 Nd 2.88, 1 Ac 2.98
6 S 0.0629 0.6982 0.2817  1 Dy 2.78, 1 Nd 2.79, 2 Ac 2.96-3.04

---

A geometry-optimized NaCuIr2O8 structure, computed with PBE.

The calculation puts the mass density at 5.9 g/cm³. The value obtained for the density of states at the Fermi level is 0.659 states/eV per atom. The value obtained for the formation energy (no corrections) is -42.5 kJ per mole of atoms. The total DFT energy (no corrections) is -5.674 eV per atom.

Unit cell a=7.0050 b=7.0050 c=6.9194 alpha=90.00 beta=90.00 gamma=90.00
With the nearest neighbours (Å) after each atom.
Space group I-4m2 (No. 119)
Symmetry-distinct sites (fractional):
1 Na 0.0000 0.0000 0.0000  4 O 2.22
2 Cu 0.0000 0.5000 0.7500  4 O 2.14
3 Ir 0.0000 0.0000 0.5000  4 O 1.83
4 Ir 0.0000 0.5000 0.2500  4 O 1.78
5 O 0.0000 0.2074 0.6598  1 Ir 1.83
6 O 0.0000 0.3060 0.0842  1 Ir 1.78

---

A geometry-optimized CoAs5 structure, computed with PBE.

The calculation puts the mass density at 6.2 g/cm³. The value obtained for the density of states at the Fermi level is 1.480 states/eV per atom. The calculation puts the offset from the most stable computed form at 755.3 meV/atom. The total DFT energy (no corrections) is -4.244 eV per atom.

Unit cell a=7.7352 b=7.7352 c=7.7352 alpha=90.00 beta=90.00 gamma=90.00
With the nearest neighbours (Å) after each atom.
Space group F-43m (No. 216)
Symmetry-distinct sites (fractional):
1 Co 0.0000 0.0000 0.0000  16 As 3.21-3.35
2 As 0.1253 0.1253 0.3747  6 As 2.73-2.74
3 As 0.2500 0.2500 0.7500  12 As 3.21, 4 Co 3.35

---

A geometry-optimized NaGe2Se4 structure, computed with PBE.

The calculation puts the mass density at 3.7 g/cm³. The value obtained for the density of states at the Fermi level is 0.365 states/eV per atom. The calculation puts the offset from the most stable computed form at 57.5 meV/atom. The value obtained for the formation energy (no corrections) is -35.8 kJ per mole of atoms. The total DFT energy (no corrections) is -3.870 eV per atom.

Unit cell a=5.6345 b=5.6345 c=6.9332 alpha=90.00 beta=90.00 gamma=90.00
With the nearest neighbours (Å) after each atom.
Space group P-42m (No. 111)
Symmetry-distinct sites (fractional):
1 Na 0.0000 0.0000 0.0000  4 Se 2.90
2 Ge 0.0000 0.5000 0.5000  4 Se 2.47
3 Se 0.2631 0.2631 0.2899  2 Ge 2.47

---

A geometry-optimized TiSn2Ir2 structure, computed with PBE.

The calculation puts the mass density at 12.0 g/cm³. The value obtained for the density of states at the Fermi level is 0.672 states/eV per atom. The total DFT energy (no corrections) is -6.910 eV per atom.

Unit cell a=6.8363 b=6.8363 c=3.9687 alpha=90.00 beta=90.00 gamma=90.00
With the nearest neighbours (Å) after each atom.
Space group P4/mbm (No. 127)
Symmetry-distinct sites (fractional):
1 Ti 0.0000 0.0000 0.0000  4 Ir 2.65
2 Sn 0.1697 0.3303 0.5000  6 Ir 2.73-2.90
3 Ir 0.1371 0.6371 0.0000  1 Ir 2.65, 2 Ti 2.65, 6 Sn 2.73-2.90

---

| no. | total moment (μB/atom) |
| --- | --- |
| 1 | 0.0000 |
| 2 | 0.4554 |
| 3 | 0.0000 |
| 4 | 0.0000 |
| 5 | 0.0000 |
| 6 | 0.0000 |
| 7 | 0.0061 |
| 8 | 0.0000 |
| 9 | 0.2058 |
| 10 | 0.3134 |
| 11 | 0.0000 |
| 12 | 0.0000 |